[1]
# SrSm3Pt, relaxed, DFT PBE
# DFT total energy ... -0.347 Ry/atom
# Formation energy from the elements ... -0.3438 eV/atom
# Symmetry ... Pm-3m (221)
# Total moment ... 0.0 μB/f.u.
data_SrSm3Pt
_cell_length_a 5.6907
_cell_length_b 5.6907
_cell_length_c 5.6907
_cell_angle_alpha 90.00
_cell_angle_beta 90.00
_cell_angle_gamma 90.00
_symmetry_space_group_name_H-M 'P 1'
_symmetry_Int_Tables_number 1
loop_
_symmetry_equiv_pos_as_xyz
'x,y,z'
loop_
_atom_site_label
_atom_site_fract_x
_atom_site_fract_y
_atom_site_fract_z
Sr1 0.0000 0.0000 0.0000
Sm1 0.0000 0.5000 0.5000
Sm2 0.5000 0.0000 0.5000
Sm3 0.5000 0.5000 0.0000
Pt1 0.5000 0.5000 0.5000


[2]
# CsZrTeI2, relaxed, DFT PBE
# DFT total energy ... -0.299 Ry/atom
# Symmetry ... P4/mmm (123)
# Formation energy without anion corrections ... -4.68 eV per formula unit
# Total moment ... 0.0 μB/f.u.
data_CsZrTeI2
_cell_length_a 5.9337
_cell_length_b 5.9337
_cell_length_c 5.6726
_cell_angle_alpha 90.00
_cell_angle_beta 90.00
_cell_angle_gamma 90.00
_symmetry_space_group_name_H-M 'P 1'
_symmetry_Int_Tables_number 1
loop_
_symmetry_equiv_pos_as_xyz
'x,y,z'
loop_
_atom_site_label
_atom_site_fract_x
_atom_site_fract_y
_atom_site_fract_z
Cs1 0.0000 0.0000 0.0000
Zr1 0.5000 0.5000 0.5000
Te1 0.5000 0.5000 0.0000
I1 0.0000 0.5000 0.5000
I2 0.5000 0.0000 0.5000


[3]
# K4DyNp3O12, relaxed, DFT PBE
# DFT total energy ... -0.595 Ry/atom
# Symmetry ... Im-3m (229)
# Formation energy without anion corrections ... -54.73 eV per formula unit
# Total moment ... 4.0 μB/f.u.
data_K4DyNp3O12
_cell_length_a 7.4395
_cell_length_b 7.4395
_cell_length_c 7.4395
_cell_angle_alpha 109.47
_cell_angle_beta 109.47
_cell_angle_gamma 109.47
_symmetry_space_group_name_H-M 'P 1'
_symmetry_Int_Tables_number 1
loop_
_symmetry_equiv_pos_as_xyz
'x,y,z'
loop_
_atom_site_label
_atom_site_fract_x
_atom_site_fract_y
_atom_site_fract_z
K1 0.0000 0.0000 0.5000
K2 0.0000 0.5000 0.0000
K3 0.5000 0.0000 0.0000
K4 0.5000 0.5000 0.5000
Dy1 0.0000 0.0000 0.0000
Np1 0.0000 0.5000 0.5000
Np2 0.5000 0.0000 0.5000
Np3 0.5000 0.5000 0.0000
O1 0.0000 0.2654 0.2654
O2 0.0000 0.7346 0.7346
O3 0.2500 0.5000 0.7500
O4 0.2500 0.7500 0.5000
O5 0.2654 0.0000 0.2654
O6 0.2654 0.2654 0.0000
O7 0.5000 0.2500 0.7500
O8 0.5000 0.7500 0.2500
O9 0.7346 0.0000 0.7346
O10 0.7346 0.7346 0.0000
O11 0.7500 0.2500 0.5000
O12 0.7500 0.5000 0.2500


[4]
# SrRe2Pt, relaxed, DFT PBE
# DFT total energy ... -0.538 Ry/atom
# Formation energy from the elements ... 0.8349 eV/atom
# Symmetry ... R-3m (166)
# Total moment ... 0.0 μB/f.u.
data_SrRe2Pt
_cell_length_a 10.3121
_cell_length_b 10.3121
_cell_length_c 10.3121
_cell_angle_alpha 15.84
_cell_angle_beta 15.84
_cell_angle_gamma 15.84
_symmetry_space_group_name_H-M 'P 1'
_symmetry_Int_Tables_number 1
loop_
_symmetry_equiv_pos_as_xyz
'x,y,z'
loop_
_atom_site_label
_atom_site_fract_x
_atom_site_fract_y
_atom_site_fract_z
Sr1 0.0000 0.0000 0.0000
Re1 0.2394 0.2394 0.2394
Re2 0.7606 0.7606 0.7606
Pt1 0.5000 0.5000 0.5000


[5]
# Sr2AgPbO5, relaxed, DFT PBE
# DFT total energy ... -0.394 Ry/atom
# Symmetry ... Cmc2_1 (36)
# Formation energy without anion corrections ... -13.59 eV per formula unit
# Total moment ... 0.9 μB/f.u.
data_Sr2AgPbO5
_cell_length_a 7.3921
_cell_length_b 7.3921
_cell_length_c 11.3181
_cell_angle_alpha 90.00
_cell_angle_beta 90.00
_cell_angle_gamma 152.72
_symmetry_space_group_name_H-M 'P 1'
_symmetry_Int_Tables_number 1
loop_
_symmetry_equiv_pos_as_xyz
'x,y,z'
loop_
_atom_site_label
_atom_site_fract_x
_atom_site_fract_y
_atom_site_fract_z
Sr1 0.0850 0.9150 0.5000
Sr2 0.1360 0.8640 0.1359
Sr3 0.8640 0.1360 0.6359
Sr4 0.9150 0.0850 0.0000
Ag1 0.4633 0.5367 0.2809
Ag2 0.5367 0.4633 0.7809
Pb1 0.2223 0.7777 0.8620
Pb2 0.7777 0.2223 0.3620
O1 0.0738 0.9262 0.9034
O2 0.2628 0.7372 0.4967
O3 0.3020 0.6980 0.2364
O4 0.3725 0.6275 0.8272
O5 0.4912 0.5088 0.6034
O6 0.5088 0.4912 0.1034
O7 0.6275 0.3725 0.3272
O8 0.6980 0.3020 0.7364
O9 0.7372 0.2628 0.9967
O10 0.9262 0.0738 0.4034


[6]
# LiMg5Cd3, relaxed, DFT PBE
# DFT total energy ... -0.110 Ry/atom
# Formation energy from the elements ... -0.0997 eV/atom
# Symmetry ... P6_3/mcm (193)
# Total moment ... 0.0 μB/f.u.
data_LiMg5Cd3
_cell_length_a 8.5700
_cell_length_b 8.5700
_cell_length_c 6.1257
_cell_angle_alpha 90.00
_cell_angle_beta 90.00
_cell_angle_gamma 120.00
_symmetry_space_group_name_H-M 'P 1'
_symmetry_Int_Tables_number 1
loop_
_symmetry_equiv_pos_as_xyz
'x,y,z'
loop_
_atom_site_label
_atom_site_fract_x
_atom_site_fract_y
_atom_site_fract_z
Li1 0.0000 0.0000 0.0000
Li2 0.0000 0.0000 0.5000
Mg1 0.0000 0.3196 0.2500
Mg2 0.0000 0.6804 0.7500
Mg3 0.3196 0.0000 0.2500
Mg4 0.3196 0.3196 0.7500
Mg5 0.3333 0.6667 0.0000
Mg6 0.3333 0.6667 0.5000
Mg7 0.6667 0.3333 0.0000
Mg8 0.6667 0.3333 0.5000
Mg9 0.6804 0.0000 0.7500
Mg10 0.6804 0.6804 0.2500
Cd1 0.0000 0.3433 0.7500
Cd2 0.0000 0.6567 0.2500
Cd3 0.3433 0.0000 0.7500
Cd4 0.3433 0.3433 0.2500
Cd5 0.6567 0.0000 0.2500
Cd6 0.6567 0.6567 0.7500


[7]
# In2ReCl, relaxed, DFT PBE
# DFT total energy ... -0.342 Ry/atom
# Symmetry ... R-3m (166)
# Formation energy without anion corrections ... 1.17 eV per formula unit
# Total moment ... 0.0 μB/f.u.
data_In2ReCl
_cell_length_a 8.9437
_cell_length_b 8.9437
_cell_length_c 8.9437
_cell_angle_alpha 21.06
_cell_angle_beta 21.06
_cell_angle_gamma 21.06
_symmetry_space_group_name_H-M 'P 1'
_symmetry_Int_Tables_number 1
loop_
_symmetry_equiv_pos_as_xyz
'x,y,z'
loop_
_atom_site_label
_atom_site_fract_x
_atom_site_fract_y
_atom_site_fract_z
In1 0.2450 0.2450 0.2450
In2 0.7550 0.7550 0.7550
Re1 0.5000 0.5000 0.5000
Cl1 0.0000 0.0000 0.0000


[8]
# K2Cd4Au3, relaxed, DFT PBE
# DFT total energy ... -0.143 Ry/atom
# Formation energy from the elements ... -0.2076 eV/atom
# Symmetry ... Cmce (64)
# Total moment ... 0.0 μB/f.u.
data_K2Cd4Au3
_cell_length_a 9.1325
_cell_length_b 9.1325
_cell_length_c 8.9221
_cell_angle_alpha 90.00
_cell_angle_beta 90.00
_cell_angle_gamma 141.59
_symmetry_space_group_name_H-M 'P 1'
_symmetry_Int_Tables_number 1
loop_
_symmetry_equiv_pos_as_xyz
'x,y,z'
loop_
_atom_site_label
_atom_site_fract_x
_atom_site_fract_y
_atom_site_fract_z
K1 0.1002 0.8998 0.8877
K2 0.3998 0.6002 0.3877
K3 0.6002 0.3998 0.6123
K4 0.8998 0.1002 0.1123
Cd1 0.1784 0.3216 0.7500
Cd2 0.1910 0.8090 0.5087
Cd3 0.3090 0.6910 0.0087
Cd4 0.3216 0.1784 0.2500
Cd5 0.6784 0.8216 0.7500
Cd6 0.6910 0.3090 0.9913
Cd7 0.8090 0.1910 0.4913
Cd8 0.8216 0.6784 0.2500
Au1 0.0000 0.0000 0.5000
Au2 0.0115 0.4885 0.7500
Au3 0.4885 0.0115 0.2500
Au4 0.5000 0.5000 0.0000
Au5 0.5115 0.9885 0.7500
Au6 0.9885 0.5115 0.2500


[9]
# Dy2GaSi2Ir5, relaxed, DFT PBE
# DFT total energy ... -0.556 Ry/atom
# Symmetry ... P4/mbm (127)
# Formation energy without anion corrections ... -8.31 eV per formula unit
# Total moment ... 0.0 μB/f.u.
data_Dy2GaSi2Ir5
_cell_length_a 9.6658
_cell_length_b 9.6658
_cell_length_c 3.5218
_cell_angle_alpha 90.00
_cell_angle_beta 90.00
_cell_angle_gamma 90.00
_symmetry_space_group_name_H-M 'P 1'
_symmetry_Int_Tables_number 1
loop_
_symmetry_equiv_pos_as_xyz
'x,y,z'
loop_
_atom_site_label
_atom_site_fract_x
_atom_site_fract_y
_atom_site_fract_z
Dy1 0.1749 0.3251 0.0000
Dy2 0.3251 0.8251 0.0000
Dy3 0.6749 0.1749 0.0000
Dy4 0.8251 0.6749 0.0000
Ga1 0.0000 0.0000 0.0000
Ga2 0.5000 0.5000 0.0000
Si1 0.1246 0.6246 0.0000
Si2 0.3754 0.1246 0.0000
Si3 0.6246 0.8754 0.0000
Si4 0.8754 0.3754 0.0000
Ir1 0.0000 0.5000 0.5000
Ir2 0.0670 0.7895 0.5000
Ir3 0.2105 0.0670 0.5000
Ir4 0.2895 0.5669 0.5000
Ir5 0.4330 0.2895 0.5000
Ir6 0.5000 0.0000 0.5000
Ir7 0.5669 0.7105 0.5000
Ir8 0.7105 0.4330 0.5000
Ir9 0.7895 0.9330 0.5000
Ir10 0.9330 0.2105 0.5000


[10]
# LiDy2Zn, relaxed, DFT PBE
# DFT total energy ... -0.226 Ry/atom
# Formation energy from the elements ... 0.0259 eV/atom
# Symmetry ... R-3m (166)
# Total moment ... 0.0 μB/f.u.
data_LiDy2Zn
_cell_length_a 10.2179
_cell_length_b 10.2179
_cell_length_c 10.2179
_cell_angle_alpha 19.62
_cell_angle_beta 19.62
_cell_angle_gamma 19.62
_symmetry_space_group_name_H-M 'P 1'
_symmetry_Int_Tables_number 1
loop_
_symmetry_equiv_pos_as_xyz
'x,y,z'
loop_
_atom_site_label
_atom_site_fract_x
_atom_site_fract_y
_atom_site_fract_z
Li1 0.0000 0.0000 0.0000
Dy1 0.2412 0.2412 0.2412
Dy2 0.7588 0.7588 0.7588
Zn1 0.5000 0.5000 0.5000


[11]
# SbPd7Au3, relaxed, DFT PBE
# DFT total energy ... -0.335 Ry/atom
# Symmetry ... C2/m (12)
# Formation energy without anion corrections ... 0.10 eV per formula unit
# Total moment ... 0.0 μB/f.u.
data_SbPd7Au3
_cell_length_a 6.8633
_cell_length_b 6.8633
_cell_length_c 4.9372
_cell_angle_alpha 110.73
_cell_angle_beta 110.73
_cell_angle_gamma 91.72
_symmetry_space_group_name_H-M 'P 1'
_symmetry_Int_Tables_number 1
loop_
_symmetry_equiv_pos_as_xyz
'x,y,z'
loop_
_atom_site_label
_atom_site_fract_x
_atom_site_fract_y
_atom_site_fract_z
Sb1 0.0000 0.0000 0.0000
Pd1 0.0000 0.0000 0.5000
Pd2 0.0888 0.5770 0.8332
Pd3 0.3172 0.3172 0.3267
Pd4 0.4230 0.9112 0.1668
Pd5 0.5770 0.0888 0.8332
Pd6 0.6828 0.6828 0.6733
Pd7 0.9112 0.4230 0.1668
Au1 0.2699 0.7301 0.5000
Au2 0.5000 0.5000 0.0000
Au3 0.7301 0.2699 0.5000


[12]
# TePb3, relaxed, DFT PBE
# DFT total energy ... -0.263 Ry/atom
# Symmetry ... R-3m (166)
# Formation energy without anion corrections ... -0.05 eV per formula unit
# Total moment ... 0.0 μB/f.u.
data_TePb3
_cell_length_a 6.5429
_cell_length_b 6.5429
_cell_length_c 6.5429
_cell_angle_alpha 116.91
_cell_angle_beta 116.91
_cell_angle_gamma 116.91
_symmetry_space_group_name_H-M 'P 1'
_symmetry_Int_Tables_number 1
loop_
_symmetry_equiv_pos_as_xyz
'x,y,z'
loop_
_atom_site_label
_atom_site_fract_x
_atom_site_fract_y
_atom_site_fract_z
Te1 0.0000 0.0000 0.0000
Pb1 0.0000 0.5000 0.5000
Pb2 0.5000 0.0000 0.5000
Pb3 0.5000 0.5000 0.0000